Version w
A relaxed PuThTcHg crystal, computed with GGA-PBE.

## Properties
The value obtained for the spin magnetization is 4.994 Bohr magnetons per cell.

a b c (Å): 3.3922 3.3922 8.3866
angles (deg): 90.00 90.00 90.00
With the nearest neighbours (Å) after each atom.
Atoms (fractional coordinates):
Pu (0.0000, 0.0000, 0.0000)  4 Tc 2.94
Th (0.0000, 0.0000, 0.4206)  4 Tc 3.02
Tc (0.5000, 0.5000, 0.2020)  4 Pu 2.94, 4 Th 3.02
Hg (0.5000, 0.5000, 0.7205)  4 Pu 3.35, 4 Hg 3.39, 4 Th 3.48

***

Version x
A relaxed PuThTcHg crystal, computed with GGA-PBE.

## Properties
The value obtained for the spin magnetization is 5.334 Bohr magnetons per cell.

a b c (Å): 5.1380 5.1380 5.1380
angles (deg): 60.00 60.00 60.00
With the nearest neighbours (Å) after each atom.
Atoms (fractional coordinates):
Pu (0.0000, 0.0000, 0.0000)  4 Hg 3.15, 4 Tc 3.15
Th (0.5000, 0.5000, 0.5000)  4 Hg 3.15, 4 Tc 3.15
Tc (0.2500, 0.2500, 0.2500)  4 Th 3.15, 4 Pu 3.15
Hg (0.7500, 0.7500, 0.7500)  4 Th 3.15, 4 Pu 3.15

***

Energies in meV/atom, measured from the most stable structure: version w 0; version x 167.

***

Version w
A relaxed PuHgTe crystal, computed with GGA-PBE.

## Properties
The value obtained for the spin magnetization is 6.001 Bohr magnetons per cell.

a b c (Å): 5.2045 5.2045 5.2045
angles (deg): 60.00 60.00 60.00
With the nearest neighbours (Å) after each atom.
Atoms (fractional coordinates):
Pu (0.0000, 0.0000, 0.0000)  4 Hg 3.19, 4 Te 3.19
Hg (0.7500, 0.7500, 0.7500)  4 Pu 3.19
Te (0.2500, 0.2500, 0.2500)  4 Pu 3.19

***

Version x
A relaxed PuHgTe crystal, computed with GGA-PBE.

## Properties
The value obtained for the spin magnetization is 5.994 Bohr magnetons per cell.

a b c (Å): 5.8851 5.8851 5.8851
angles (deg): 140.19 140.19 57.56
With the nearest neighbours (Å) after each atom.
Atoms (fractional coordinates):
Pu (0.0000, 0.0000, 0.0000)  5 Te 3.27-3.53, 5 Hg 3.34-3.39
Hg (0.6717, 0.6717, 0.0000)  5 Te 3.34-3.40, 5 Pu 3.34-3.39
Te (0.3423, 0.3423, 0.0000)  5 Pu 3.27-3.53, 5 Hg 3.34-3.40

***

Version y
A relaxed PuHgTe crystal, computed with GGA-PBE.

## Properties
The value obtained for the spin magnetization is 5.991 Bohr magnetons per cell.

a b c (Å): 5.2652 5.2652 3.4140
angles (deg): 90.00 90.00 120.00
With the nearest neighbours (Å) after each atom.
Atoms (fractional coordinates):
Pu (0.0000, 0.0000, 0.0000)  2 Pu 3.41, 6 Hg 3.49, 6 Te 3.49
Hg (0.6667, 0.3333, 0.5000)  3 Te 3.04
Te (0.3333, 0.6667, 0.5000)  3 Hg 3.04

***

Energies in meV/atom, measured from the most stable structure: version w 0; version x 7; version y 209.